Here is an optimized crystal structure of Li2Ca2CeSb2 from Alexandria via LeMat-Bulk. Energies are from PBE.

Lattice parameters (Å, degrees): 10.0436 10.0436 10.0436 27.14 27.14 27.14
Sites, in units of the cell vectors:
Li1 0.0907 0.0907 0.0907
Li2 0.9093 0.9093 0.9093
Ca1 0.3699 0.3699 0.3699
Ca2 0.6301 0.6301 0.6301
Ce1 0.5000 0.5000 0.5000
Sb1 0.2348 0.2348 0.2348
Sb2 0.7652 0.7652 0.7652

Output
Fermi-level density of states, states/eV per cell: 9.030
Size of the total moment, Bohr magnetons per cell: 1.5
Electronic total energy, eV/atom: -3.770